Compound: Nd4Y5Cd
Source: the Alexandria database
Functional: GGA-PBE
Structure: optimized geometry

Structure (CIF):
```
data_Nd4Y5Cd
_space_group_name_H-M_alt 'I 4 m m'
_space_group_IT_number 107
_space_group_name_Hall 'I 4 -2'
_cell_length_a 10.8149
_cell_length_b 10.8149
_cell_length_c 5.8072
_cell_angle_alpha 90.00
_cell_angle_beta 90.00
_cell_angle_gamma 90.00
loop_
_atom_site_label
_atom_site_fract_x
_atom_site_fract_y
_atom_site_fract_z
_atom_site_occupancy
Nd1 0.0000 0.3193 0.0000 1
Y1 0.0000 0.0000 0.1810 1
Y2 0.1834 0.1834 0.4932 1
Cd1 0.0000 0.0000 0.7005 1
```

- distance to the lowest polymorph of the same formula (meV per atom) = 158
- formation enthalpy at 0 K (eV/atom) = 0.1029
- raw total energy (eV per cell) = -102.55
- crystal system = tetragonal



Compound: Nd5YCd6
Source: the Alexandria database
Functional: GGA-PBE
Structure: optimized geometry

Structure (CIF):
```
data_Nd5YCd6
_space_group_name_H-M_alt 'C m m m'
_space_group_IT_number 65
_space_group_name_Hall '-C 2 2'
_cell_length_a 5.4110
_cell_length_b 16.2600
_cell_length_c 7.7215
_cell_angle_alpha 90.00
_cell_angle_beta 90.00
_cell_angle_gamma 90.00
loop_
_atom_site_label
_atom_site_fract_x
_atom_site_fract_y
_atom_site_fract_z
_atom_site_occupancy
Nd1 0.0000 0.0000 0.0000 1
Nd2 0.0000 0.3314 0.0000 1
Nd3 0.0000 0.3338 0.5000 1
Y1 0.0000 0.0000 0.5000 1
Cd1 0.0000 0.1636 0.2542 1
Cd2 0.0000 0.5000 0.2557 1
```

- formation enthalpy at 0 K (eV/atom) = -0.3211
- raw total energy (eV per cell) = -79.29
- crystal system = orthorhombic



Compound: Nd3Y3Cd
Source: the Alexandria database
Functional: GGA-PBE
Structure: optimized geometry

Structure (CIF):
```
data_Nd3Y3Cd
_space_group_name_H-M_alt 'P 1 21/m 1'
_space_group_IT_number 11
_space_group_name_Hall '-P 2yb'
_cell_length_a 8.6725
_cell_length_b 5.5851
_cell_length_c 10.0840
_cell_angle_alpha 90.00
_cell_angle_beta 112.31
_cell_angle_gamma 90.00
loop_
_atom_site_label
_atom_site_fract_x
_atom_site_fract_y
_atom_site_fract_z
_atom_site_occupancy
Nd1 0.0834 0.2500 0.0839 1
Nd2 0.0871 0.7500 0.6387 1
Nd3 0.3691 0.7500 0.0379 1
Y1 0.2160 0.7500 0.3268 1
Y2 0.3333 0.2500 0.5640 1
Y3 0.4821 0.2500 0.2879 1
Cd1 0.2127 0.2500 0.8265 1
```

- formation enthalpy at 0 K (eV/atom) = -0.0364
- raw total energy (eV per cell) = -69.73
- crystal system = monoclinic



Compound: Nd2Y3Cd3
Source: the Alexandria database
Functional: GGA-PBE
Structure: optimized geometry

Structure (CIF):
```
data_Nd2Y3Cd3
_space_group_name_H-M_alt 'I m m m'
_space_group_IT_number 71
_space_group_name_Hall '-I 2 2'
_cell_length_a 3.7959
_cell_length_b 5.3589
_cell_length_c 22.5896
_cell_angle_alpha 90.00
_cell_angle_beta 90.00
_cell_angle_gamma 90.00
loop_
_atom_site_label
_atom_site_fract_x
_atom_site_fract_y
_atom_site_fract_z
_atom_site_occupancy
Nd1 0.0000 0.0000 0.2314 1
Y1 0.0000 0.0000 0.0000 1
Y2 0.0000 0.5000 0.1198 1
Cd1 0.0000 0.0000 0.5000 1
Cd2 0.0000 0.5000 0.3868 1
```

- formation enthalpy at 0 K (eV/atom) = -0.2509
- raw total energy (eV per cell) = -67.36
- crystal system = orthorhombic



Compound: Nd6YCd2
Source: the Alexandria database
Functional: GGA-PBE
Structure: optimized geometry

Structure (CIF):
```
data_Nd6YCd2
_space_group_name_H-M_alt 'C 1 2/m 1'
_space_group_IT_number 12
_space_group_name_Hall '-C 2y'
_cell_length_a 13.0192
_cell_length_b 3.8356
_cell_length_c 12.2416
_cell_angle_alpha 90.00
_cell_angle_beta 109.04
_cell_angle_gamma 90.00
loop_
_atom_site_label
_atom_site_fract_x
_atom_site_fract_y
_atom_site_fract_z
_atom_site_occupancy
Nd1 0.0196 0.0000 0.3362 1
Nd2 0.1854 0.5000 0.8767 1
Nd3 0.1895 0.5000 0.5885 1
Y1 0.0000 0.0000 0.0000 1
Cd1 0.1420 0.5000 0.1991 1
```

- distance to the lowest polymorph of the same formula (meV per atom) = 0
- formation enthalpy at 0 K (eV/atom) = -0.1370
- raw total energy (eV per cell) = -76.27
- crystal system = monoclinic



Compound: NdY7Cd4
Source: the Alexandria database
Functional: GGA-PBE
Structure: optimized geometry

Structure (CIF):
```
data_NdY7Cd4
_space_group_name_H-M_alt 'C 1 2/m 1'
_space_group_IT_number 12
_space_group_name_Hall '-C 2y'
_cell_length_a 14.7729
_cell_length_b 5.7273
_cell_length_c 9.8502
_cell_angle_alpha 90.00
_cell_angle_beta 122.22
_cell_angle_gamma 90.00
loop_
_atom_site_label
_atom_site_fract_x
_atom_site_fract_y
_atom_site_fract_z
_atom_site_occupancy
Nd1 0.0000 0.0000 0.0000 1
Y1 0.0000 0.5000 0.0000 1
Y2 0.0708 0.0000 0.4123 1
Y3 0.2073 0.0000 0.8807 1
Y4 0.2348 0.5000 0.6886 1
Cd1 0.0428 0.5000 0.7172 1
Cd2 0.1819 0.5000 0.3401 1
```

- formation enthalpy at 0 K (eV/atom) = -0.0190
- raw total energy (eV per cell) = -107.81
- crystal system = monoclinic



Compound: Nd4YCd
Source: the Alexandria database
Functional: GGA-PBE
Structure: optimized geometry

Structure (CIF):
```
data_Nd4YCd
_space_group_name_H-M_alt 'C 1 2/c 1'
_space_group_IT_number 15
_space_group_name_Hall '-C 2yc'
_cell_length_a 8.9771
_cell_length_b 14.5081
_cell_length_c 6.4446
_cell_angle_alpha 90.00
_cell_angle_beta 109.47
_cell_angle_gamma 90.00
loop_
_atom_site_label
_atom_site_fract_x
_atom_site_fract_y
_atom_site_fract_z
_atom_site_occupancy
Nd1 0.0976 0.1909 0.0455 1
Nd2 0.2145 0.3800 0.3760 1
Y1 0.0000 0.4134 0.7500 1
Cd1 0.0000 0.0010 0.7500 1
```

- distance to the lowest polymorph of the same formula (meV per atom) = 93
- formation enthalpy at 0 K (eV/atom) = -0.0020
- raw total energy (eV per cell) = -105.85
- crystal system = monoclinic



Compound: Nd2Y6Cd
Source: the Alexandria database
Functional: GGA-PBE
Structure: optimized geometry

Structure (CIF):
```
data_Nd2Y6Cd
_space_group_name_H-M_alt 'P -6 2 m'
_space_group_IT_number 189
_space_group_name_Hall 'P -6 -2'
_cell_length_a 9.4836
_cell_length_b 9.4836
_cell_length_c 3.6817
_cell_angle_alpha 90.00
_cell_angle_beta 90.00
_cell_angle_gamma 120.00
loop_
_atom_site_label
_atom_site_fract_x
_atom_site_fract_y
_atom_site_fract_z
_atom_site_occupancy
Nd1 0.3333 0.6667 0.0000 1
Y1 0.0000 0.3799 0.5000 1
Y2 0.0000 0.7273 0.0000 1
Cd1 0.0000 0.0000 0.5000 1
```

- distance to the lowest polymorph of the same formula (meV per atom) = 0
- formation enthalpy at 0 K (eV/atom) = -0.0678
- raw total energy (eV per cell) = -49.85
- crystal system = hexagonal



Compound: NdY2Cd
Source: the Alexandria database
Functional: GGA-PBE
Structure: optimized geometry

Structure (CIF):
```
data_NdY2Cd
_space_group_name_H-M_alt 'R -3 m'
_space_group_IT_number 166
_space_group_name_Hall '-R 3 2"'
_cell_length_a 3.6287
_cell_length_b 3.6287
_cell_length_c 32.5519
_cell_angle_alpha 90.00
_cell_angle_beta 90.00
_cell_angle_gamma 120.00
loop_
_atom_site_label
_atom_site_fract_x
_atom_site_fract_y
_atom_site_fract_z
_atom_site_occupancy
Nd1 0.0000 0.0000 0.0000 1
Y1 0.0000 0.0000 0.2427 1
Cd1 0.0000 0.0000 0.5000 1
```

- distance to the lowest polymorph of the same formula (meV per atom) = 75
- formation enthalpy at 0 K (eV/atom) = -0.0906
- raw total energy (eV per cell) = -56.92
- crystal system = trigonal



Compound: Nd3Y2Cd2
Source: the Alexandria database
Functional: GGA-PBE
Structure: optimized geometry

Structure (CIF):
```
data_Nd3Y2Cd2
_space_group_name_H-M_alt 'C 1 2/m 1'
_space_group_IT_number 12
_space_group_name_Hall '-C 2y'
_cell_length_a 9.5206
_cell_length_b 5.5016
_cell_length_c 8.7189
_cell_angle_alpha 90.00
_cell_angle_beta 111.38
_cell_angle_gamma 90.00
loop_
_atom_site_label
_atom_site_fract_x
_atom_site_fract_y
_atom_site_fract_z
_atom_site_occupancy
Nd1 0.0000 0.0000 0.0000 1
Nd2 0.1586 0.0000 0.4751 1
Y1 0.0739 0.5000 0.7225 1
Cd1 0.2105 0.5000 0.1319 1
```

- distance to the lowest polymorph of the same formula (meV per atom) = 0
- formation enthalpy at 0 K (eV/atom) = -0.1622
- raw total energy (eV per cell) = -60.40
- crystal system = monoclinic



Compound: NdY5Cd3
Source: the Alexandria database
Functional: GGA-PBE
Structure: optimized geometry

Structure (CIF):
```
data_NdY5Cd3
_space_group_name_H-M_alt 'P 63/m c m'
_space_group_IT_number 193
_space_group_name_Hall '-P 6c 2'
_cell_length_a 9.2572
_cell_length_b 9.2572
_cell_length_c 6.9865
_cell_angle_alpha 90.00
_cell_angle_beta 90.00
_cell_angle_gamma 120.00
loop_
_atom_site_label
_atom_site_fract_x
_atom_site_fract_y
_atom_site_fract_z
_atom_site_occupancy
Nd1 0.0000 0.0000 0.0000 1
Y1 0.0000 0.3326 0.2500 1
Y2 0.3333 0.6667 0.0000 1
Cd1 0.0000 0.3379 0.7500 1
```

- formation enthalpy at 0 K (eV/atom) = -0.1969
- raw total energy (eV per cell) = -83.21
- crystal system = hexagonal



Compound: Nd4Y5Cd
Source: the Alexandria database
Functional: GGA-PBE
Structure: optimized geometry

Structure (CIF):
```
data_Nd4Y5Cd
_space_group_name_H-M_alt 'P 4/m m m'
_space_group_IT_number 123
_space_group_name_Hall '-P 4 2'
_cell_length_a 3.6412
_cell_length_b 3.6412
_cell_length_c 24.3918
_cell_angle_alpha 90.00
_cell_angle_beta 90.00
_cell_angle_gamma 90.00
loop_
_atom_site_label
_atom_site_fract_x
_atom_site_fract_y
_atom_site_fract_z
_atom_site_occupancy
Nd1 0.0000 0.0000 0.1044 1
Nd2 0.0000 0.0000 0.3137 1
Y1 0.5000 0.5000 0.0000 1
Y2 0.5000 0.5000 0.2093 1
Y3 0.5000 0.5000 0.4179 1
Cd1 0.0000 0.0000 0.5000 1
```

- distance to the lowest polymorph of the same formula (meV per atom) = 0
- formation enthalpy at 0 K (eV/atom) = -0.0555
- raw total energy (eV per cell) = -52.86
- crystal system = tetragonal